Here is an optimized crystal structure of K2MnTlF6 from Alexandria. Energies are from PBE+U.

Lattice parameters (Å, degrees): 9.0363 9.0363 9.0363 90.00 90.00 90.00
Space group Fm-3m (No. 225)
One atom of each set of equivalent atoms:
K1 0.2500 0.2500 0.2500 x8
Mn1 0.0000 0.0000 0.0000 x4
Tl1 0.0000 0.0000 0.5000 x4
F1 0.0000 0.0000 0.2223 x24

Calculated values
size of the total moment: 16.0 μB per cell
crystal system: cubic
DFT total energy: -4.784 eV/atom
volume: 18.447 A^3/atom
polymorph energy (0 for the lowest one): 0.00 eV per formula unit
D(E_F): 10.1 states/eV per cell